i | First-principles (PBE) data for a relaxed structure of CeEuCo, as listed in the Alexandria database.

abc: 3.4397 3.4397 6.7600
angles: 104.74 104.74 90.00
Last column: magnetic moment on the atom in μB.
Sites, in units of the cell vectors:
Ce  0.7152  0.7152  0.4304  0.46
Eu  0.9741  0.9741  0.9482  6.90
Co  0.3107  0.3107  0.6214  -0.19

Summary:
**SG**: I4mm
**DOS(E_F)**: 4.6 states/eV per cell

ii | First-principles (PBE) data for a relaxed structure of CeEuCo, as listed in the Alexandria database.

abc: 4.1454 4.1454 5.3366
angles: 90.00 90.00 120.00
Last column: magnetic moment on the atom in μB.
Sites, in units of the cell vectors:
Co  0.3333  0.6667  0.5064  -0.10
Eu  0.0000  0.0000  0.9972  6.92
Ce  0.6667  0.3333  0.4965  0.38

Summary:
**SG**: P3m1
**DOS(E_F)**: 3.8 states/eV per cell

The most stable of them is i.

i | First-principles (PBE) data for a relaxed structure of CeGa9Co2, as listed in the Alexandria database.

abc: 3.8092 7.9027 7.9027
angles: 120.00 90.00 90.00
Last column: magnetic moment on the atom in μB.
Sites, in units of the cell vectors:
Ga  0.5000  0.7947  0.5895  0.00
Ga  0.5000  0.5895  0.7947  0.00
Ga  0.5000  0.7947  0.2053  0.00
Ga  0.0000  0.0000  0.5000  0.00
Ga  0.5000  0.2053  0.4105  0.00
Ga  0.0000  0.5000  0.0000  0.00
Ga  0.5000  0.4105  0.2053  0.00
Ga  0.0000  0.5000  0.5000  0.00
Ga  0.5000  0.2053  0.7947  0.00
Co  0.0000  0.6667  0.3333  0.07
Co  0.0000  0.3333  0.6667  0.07
Ce  0.0000  0.0000  0.0000  1.07

Summary:
**SG**: P6/mmm
**DOS(E_F)**: 10.5 states/eV per cell

ii | First-principles (PBE) data for a relaxed structure of CeGa9Co2, as listed in the Alexandria database.

abc: 7.3991 8.1798 8.1798
angles: 78.20 63.11 63.11
Last column: magnetic moment on the atom in μB.
Sites, in units of the cell vectors:
Ga  0.6868  0.1778  0.5793  0.00
Ga  0.6868  0.5793  0.1778  0.00
Ga  0.3061  0.6778  0.0793  0.00
Ga  0.7340  0.8222  0.5793  0.00
Ga  0.0632  0.9207  0.3222  0.00
Ga  0.0160  0.9207  0.6778  0.00
Ga  0.7340  0.5793  0.8222  0.00
Ga  0.1354  0.1778  0.4207  0.00
Ga  0.4439  0.4207  0.8222  0.00
Ga  0.4439  0.8222  0.4207  0.00
Ga  0.0160  0.6778  0.9207  0.00
Ga  0.7500  0.5000  0.5000  0.00
Ga  0.0632  0.3222  0.9207  0.00
Ga  0.0000  0.0000  0.0000  0.00
Ga  0.1354  0.4207  0.1778  0.00
Ga  0.6146  0.0793  0.3222  0.00
Ga  0.6146  0.3222  0.0793  0.00
Ga  0.3061  0.0793  0.6778  0.00
Co  0.3750  0.7500  0.7500  -0.05
Co  0.8750  0.2500  0.2500  -0.05
Co  0.8750  0.7500  0.2500  -0.05
Co  0.8750  0.2500  0.7500  -0.05
Ce  0.2500  0.5000  0.5000  0.71
Ce  0.5000  0.0000  0.0000  0.71

Summary:
**SG**: I4_1/amd
**DOS(E_F)**: 18.0 states/eV per cell

The most stable of them is i.

i | First-principles (PBE) data for a relaxed structure of Ce3GaCo, as listed in the Alexandria database.

abc: 6.3194 8.3197 8.5869
angles: 102.55 90.00 90.00
Last column: magnetic moment on the atom in μB.
Sites, in units of the cell vectors:
Ga  0.6814  0.0655  0.9266  -0.01
Ga  0.8186  0.5655  0.4266  -0.01
Ga  0.3186  0.9345  0.0734  -0.01
Ga  0.1814  0.4345  0.5734  -0.01
Ce  0.2082  0.5213  0.9584  0.31
Ce  0.5331  0.2590  0.3133  0.15
Ce  0.2918  0.0213  0.4584  0.31
Ce  0.1882  0.1351  0.7894  0.49
Ce  0.6882  0.3649  0.7106  0.49
Ce  0.0331  0.2410  0.1867  0.15
Ce  0.7082  0.9787  0.5416  0.31
Ce  0.9669  0.7590  0.8133  0.15
Ce  0.3118  0.6351  0.2894  0.49
Ce  0.4669  0.7410  0.6867  0.15
Ce  0.8118  0.8649  0.2106  0.49
Ce  0.7918  0.4787  0.0416  0.31
Co  0.9216  0.2219  0.4465  -0.06
Co  0.5784  0.7219  0.9465  -0.06
Co  0.4216  0.2781  0.0535  -0.06
Co  0.0784  0.7781  0.5535  -0.06

Summary:
**SG**: P2_1/c
**DOS(E_F)**: 42.8 states/eV per cell

ii | First-principles (PBE) data for a relaxed structure of Ce3GaCo, as listed in the Alexandria database.

abc: 5.0786 5.0786 5.0786
angles: 90.00 90.00 90.00
Last column: magnetic moment on the atom in μB.
Sites, in units of the cell vectors:
Co  0.0000  0.0000  0.0000  -0.06
Ce  0.0000  0.5000  0.0000  0.49
Ce  0.0000  0.0000  0.5000  0.49
Ce  0.5000  0.0000  0.0000  0.49
Ga  0.5000  0.5000  0.5000  -0.03

Summary:
**SG**: Pm-3m
**DOS(E_F)**: 14.3 states/eV per cell

iii | First-principles (PBE) data for a relaxed structure of Ce3GaCo, as listed in the Alexandria database.

abc: 5.3929 6.8783 7.8566
angles: 115.96 110.07 90.00
Last column: magnetic moment on the atom in μB.
Sites, in units of the cell vectors:
Ce  0.0850  0.3350  0.1700  0.55
Ce  0.9150  0.6650  0.8300  0.55
Ce  0.6524  0.6734  0.3049  0.26
Ce  0.3476  0.8685  0.6951  0.26
Ce  0.3476  0.3266  0.6951  0.26
Ce  0.6524  0.1315  0.3049  0.26
Co  0.4793  0.7293  0.9587  -0.12
Co  0.5207  0.2707  0.0413  -0.12
Ga  0.8582  0.1082  0.7165  -0.01
Ga  0.1418  0.8918  0.2835  -0.01

Summary:
**SG**: Imma
**DOS(E_F)**: 23.4 states/eV per cell

The most stable of them is i.

i | First-principles (PBE) data for a relaxed structure of Ce2GaCo3, as listed in the Alexandria database.

abc: 5.2994 5.2994 7.8156
angles: 90.00 90.00 120.00
Sites, in units of the cell vectors:
Co  0.6615  0.8307  0.2500
Co  0.8307  0.6615  0.7500
Co  0.3385  0.1693  0.7500
Co  0.1693  0.3385  0.2500
Co  0.8307  0.1693  0.7500
Co  0.1693  0.8307  0.2500
Ce  0.3333  0.6667  0.9358
Ce  0.6667  0.3333  0.4358
Ce  0.6667  0.3333  0.0642
Ce  0.3333  0.6667  0.5642
Ga  0.0000  0.0000  0.0000
Ga  0.0000  0.0000  0.5000

Summary:
**SG**: P6_3/mmc
**DOS(E_F)**: 15.7 states/eV per cell

ii | First-principles (PBE) data for a relaxed structure of Ce2GaCo3, as listed in the Alexandria database.

abc: 5.3002 7.0815 6.6049
angles: 122.42 90.00 90.00
Sites, in units of the cell vectors:
Ce  0.2500  0.8590  0.3178
Ce  0.7500  0.1410  0.6822
Ce  0.7500  0.4587  0.3178
Ce  0.2500  0.5413  0.6822
Ga  0.2500  0.2041  0.0000
Ga  0.7500  0.7959  0.0000
Co  0.0000  0.1371  0.2741
Co  0.5000  0.8629  0.7259
Co  0.0000  0.5000  0.0000
Co  0.0000  0.8629  0.7259
Co  0.5000  0.5000  0.0000
Co  0.5000  0.1371  0.2741

Summary:
**SG**: Cmcm
**DOS(E_F)**: 6.8 states/eV per cell

The most stable of them is i.

i | First-principles (PBE) data for a relaxed structure of Ce2Co5Ge3, as listed in the Alexandria database.

abc: 5.6232 8.0468 8.0468
angles: 75.46 69.55 69.55
Last column: magnetic moment on the atom in μB.
Sites, in units of the cell vectors:
Ce  0.6272  0.1181  0.6275  -0.29
Ce  0.3728  0.8819  0.3725  -0.29
Ce  0.1272  0.6275  0.1181  -0.29
Ce  0.8728  0.3725  0.8819  -0.29
Co  0.9967  0.2533  0.2533  0.86
Co  0.6303  0.7401  0.9992  0.54
Co  0.7500  0.5000  0.5000  0.01
Co  0.3697  0.2599  0.0008  0.54
Co  0.8697  0.0008  0.2599  0.54
Co  0.4967  0.2533  0.2533  0.86
Co  0.0033  0.7467  0.7467  0.86
Co  0.5033  0.7467  0.7467  0.86
Co  0.2500  0.5000  0.5000  0.01
Co  0.1303  0.9992  0.7401  0.54
Ge  0.7500  0.0000  0.0000  -0.02
Ge  0.6201  0.5103  0.2494  -0.02
Ge  0.3799  0.4897  0.7506  -0.02
Ge  0.2500  0.0000  0.0000  -0.02
Ge  0.8799  0.7506  0.4897  -0.02
Ge  0.1201  0.2494  0.5103  -0.02

Summary:
**SG**: Ibam
**DOS(E_F)**: 27.0 states/eV per cell

ii | First-principles (PBE) data for a relaxed structure of Ce2Co5Ge3, as listed in the Alexandria database.

abc: 3.9481 6.6299 12.0161
angles: 90.00 99.46 90.00
Sites, in units of the cell vectors:
Ge  0.0570  0.0450  0.1139
Ge  0.7577  0.7347  0.5154
Ge  0.9430  0.5450  0.8861
Ge  0.2423  0.2347  0.4846
Ge  0.6128  0.4161  0.2256
Ge  0.3872  0.9161  0.7744
Co  0.8546  0.7405  0.7092
Co  0.9521  0.9295  0.9042
Co  0.0479  0.4295  0.0958
Co  0.3912  0.5332  0.7823
Co  0.7111  0.0471  0.4223
Co  0.2889  0.5471  0.5777
Co  0.7120  0.4221  0.4240
Co  0.6088  0.0332  0.2177
Co  0.2880  0.9221  0.5760
Co  0.1454  0.2405  0.2908
Ce  0.5197  0.7327  0.0394
Ce  0.4803  0.2327  0.9606
Ce  0.1608  0.7639  0.3217
Ce  0.8392  0.2639  0.6783

Summary:
**SG**: Cmc2_1
**DOS(E_F)**: 16.3 states/eV per cell

The most stable of them is ii.

i | First-principles (PBE) data for a relaxed structure of Ce4CoGe2, as listed in the Alexandria database.

abc: 4.2677 5.9461 5.9461
angles: 93.42 90.00 90.00
Last column: magnetic moment on the atom in μB.
Sites, in units of the cell vectors:
Co  0.5000  0.5000  0.5000  -0.01
Ge  0.0000  0.6678  0.3322  -0.01
Ge  0.0000  0.3322  0.6678  -0.01
Ce  0.0000  0.8328  0.8328  0.50
Ce  0.0000  0.1672  0.1672  0.50
Ce  0.5000  0.5000  0.0000  0.15
Ce  0.5000  0.0000  0.5000  0.15

Summary:
**SG**: Cmmm
**DOS(E_F)**: 13.8 states/eV per cell

ii | First-principles (PBE) data for a relaxed structure of Ce4CoGe2, as listed in the Alexandria database.

abc: 4.7746 4.7746 8.7826
angles: 105.77 105.77 90.00
Last column: magnetic moment on the atom in μB.
Sites, in units of the cell vectors:
Ge  0.6338  0.6338  0.2676  -0.03
Ge  0.3662  0.3662  0.7324  -0.03
Ce  0.0000  0.5000  0.0000  0.07
Ce  0.8188  0.8188  0.6377  0.86
Ce  0.1812  0.1812  0.3623  0.86
Ce  0.5000  0.0000  0.0000  0.07
Co  0.0000  0.0000  0.0000  -0.03

Summary:
**SG**: I4/mmm
**DOS(E_F)**: 17.2 states/eV per cell

The most stable of them is ii.

i | First-principles (PBE) data for a relaxed structure of Ce3Co2Ge, as listed in the Alexandria database.

abc: 5.9262 11.0148 8.2969
angles: 90.00 109.87 90.00
Sites, in units of the cell vectors:
Co  0.3530  0.1343  0.1290
Co  0.3304  0.0159  0.6881
Co  0.8304  0.4841  0.1881
Co  0.6470  0.8657  0.8710
Co  0.1470  0.6343  0.3710
Co  0.1696  0.5159  0.8119
Co  0.8530  0.3657  0.6290
Co  0.6696  0.9841  0.3119
Ce  0.1614  0.2319  0.8315
Ce  0.7099  0.4530  0.9048
Ce  0.2099  0.0470  0.4048
Ce  0.3386  0.7319  0.6685
Ce  0.2901  0.5470  0.0952
Ce  0.7640  0.0773  0.0213
Ce  0.2640  0.4227  0.5213
Ce  0.6614  0.2681  0.3315
Ce  0.2360  0.9227  0.9787
Ce  0.8386  0.7681  0.1685
Ce  0.7360  0.5773  0.4787
Ce  0.7901  0.9530  0.5952
Ge  0.5832  0.2074  0.6826
Ge  0.0832  0.2926  0.1826
Ge  0.4168  0.7926  0.3174
Ge  0.9168  0.7074  0.8174

Summary:
**SG**: P2_1/c
**DOS(E_F)**: 33.9 states/eV per cell

ii | First-principles (PBE) data for a relaxed structure of Ce3Co2Ge, as listed in the Alexandria database.

abc: 4.1688 8.2130 8.0706
angles: 92.58 104.97 90.00
Last column: magnetic moment on the atom in μB.
Sites, in units of the cell vectors:
Ge  0.3880  0.9379  0.7760  -0.01
Ge  0.6120  0.0621  0.2240  -0.01
Ce  0.2541  0.2065  0.5082  0.22
Ce  0.0551  0.8070  0.1102  0.48
Ce  0.9449  0.1930  0.8898  0.48
Ce  0.7459  0.7935  0.4918  0.22
Ce  0.6185  0.4396  0.2370  0.49
Ce  0.3815  0.5604  0.7630  0.49
Co  0.2034  0.5765  0.4069  -0.14
Co  0.9100  0.8033  0.8200  -0.07
Co  0.0900  0.1967  0.1800  -0.07
Co  0.7966  0.4235  0.5931  -0.14

Summary:
**SG**: C2/m
**DOS(E_F)**: 18.5 states/eV per cell

The most stable of them is i.

i | First-principles (PBE) data for a relaxed structure of CePmCoGe, as listed in the Alexandria database.

abc: 5.0316 5.0316 5.0316
angles: 60.00 60.00 60.00
Last column: magnetic moment on the atom in μB.
Sites, in units of the cell vectors:
Ge  0.2500  0.2500  0.2500  0.07
Ce  0.5000  0.5000  0.5000  -0.83
Pm  0.0000  0.0000  0.0000  -0.17
Co  0.7500  0.7500  0.7500  1.16

Summary:
**SG**: F-43m
**DOS(E_F)**: 6.6 states/eV per cell

ii | First-principles (PBE) data for a relaxed structure of CePmCoGe, as listed in the Alexandria database.

abc: 4.5101 4.5101 9.6641
angles: 90.00 90.00 90.00
Sites, in units of the cell vectors:
Co  0.0000  0.5000  0.3787
Co  0.5000  0.0000  0.6213
Ge  0.5000  0.0000  0.8558
Ge  0.0000  0.5000  0.1442
Ce  0.0000  0.0000  0.5000
Ce  0.5000  0.5000  0.5000
Pm  0.0000  0.5000  0.8459
Pm  0.5000  0.0000  0.1541

Summary:
**SG**: P4/nmm
**DOS(E_F)**: 10.2 states/eV per cell

The most stable of them is ii.

i | First-principles (PBE) data for a relaxed structure of CeCoH2, as listed in the Alexandria database.

abc: 4.0574 4.0574 4.0877
angles: 60.25 60.25 60.00
Last column: magnetic moment on the atom in μB.
Sites, in units of the cell vectors:
Co  0.0000  0.0000  0.0000  0.10
H  0.8429  0.8429  0.4714  0.00
H  0.1571  0.1571  0.5286  0.00
Ce  0.5000  0.5000  0.5000  -0.32

Summary:
**SG**: R-3m
**DOS(E_F)**: 3.2 states/eV per cell

ii | First-principles (PBE) data for a relaxed structure of CeCoH2, as listed in the Alexandria database.

abc: 4.8602 6.4610 4.0491
angles: 95.75 126.88 90.00
Last column: magnetic moment on the atom in μB.
Sites, in units of the cell vectors:
H  0.0213  0.9014  0.7043  0.00
H  0.9787  0.0986  0.2957  0.00
H  0.6829  0.4014  0.7043  0.00
H  0.3171  0.5986  0.2957  0.00
Co  0.7131  0.2500  0.0000  -0.04
Co  0.2869  0.7500  0.0000  -0.04
Ce  0.2704  0.2500  0.0000  0.19
Ce  0.7296  0.7500  0.0000  0.19

Summary:
**SG**: C2/c
**DOS(E_F)**: 5.1 states/eV per cell

The most stable of them is ii.

i | First-principles (PBE) data for a relaxed structure of CeCoH6, as listed in the Alexandria database.

abc: 4.0588 5.3607 4.0770
angles: 48.89 81.53 77.05
Last column: magnetic moment on the atom in μB.
Sites, in units of the cell vectors:
H  0.2226  0.4353  0.3436  0.00
H  0.7774  0.5647  0.6564  0.00
H  0.4314  0.2255  0.0000  0.00
H  0.5686  0.7745  0.0000  0.00
H  0.2226  0.7788  0.6564  0.00
H  0.7774  0.2212  0.3436  0.00
Ce  0.0000  0.0000  0.0000  0.76
Co  0.5000  0.5000  0.0000  0.16

Summary:
**SG**: C2/m
**DOS(E_F)**: 6.8 states/eV per cell

ii | First-principles (PBE) data for a relaxed structure of CeCoH6, as listed in the Alexandria database.

abc: 4.4110 4.4111 4.4511
angles: 60.30 60.30 60.00
Last column: magnetic moment on the atom in μB.
Sites, in units of the cell vectors:
H  0.0965  0.5840  0.2231  0.00
H  0.4160  0.9035  0.7769  0.00
H  0.9035  0.9035  0.7769  0.00
H  0.9035  0.4160  0.7769  0.00
H  0.5840  0.0965  0.2231  0.00
H  0.0965  0.0965  0.2231  0.00
Co  0.0000  0.0000  0.0000  0.13
Ce  0.5000  0.5000  0.5000  0.79

Summary:
**SG**: R-3m
**DOS(E_F)**: 5.0 states/eV per cell

The most stable of them is ii.